[1]
Material: Sc3Co2
Method: DFT, PBE-GGA
State: relaxed

ρ: 4.69 g/cm³
Formation energy: -0.2299 eV per atom
M_tot: 0.0 μB per cell
Raw total energy: -6.871 eV/atom

Cell and atoms, written as CIF:
```
data_Sc3Co2
_chemical_formula_sum 'Sc3 Co2'
_space_group_name_H-M_alt 'P 1'
_space_group_IT_number 1
_space_group_name_Hall 'P 1'
_cell_length_a 4.354
_cell_length_b 4.354
_cell_length_c 5.450
_cell_angle_alpha 90.00
_cell_angle_beta 90.00
_cell_angle_gamma 120.00
loop_
_atom_site_label
_atom_site_fract_x
_atom_site_fract_y
_atom_site_fract_z
Co1 0.667 0.333 0.152
Co2 0.333 0.667 0.848
Sc1 0.000 0.000 0.000
Sc2 0.333 0.667 0.336
Sc3 0.667 0.333 0.664
```

---

[2]
Material: Sc4Co5
Method: DFT, PBE-GGA
State: relaxed

ρ: 5.85 g/cm³
Formation energy: -0.0911 eV per atom
M_tot: 5.3 μB per cell
Raw total energy: -6.853 eV/atom

Cell and atoms, written as CIF:
```
data_Sc4Co5
_chemical_formula_sum 'Sc8 Co10'
_space_group_name_H-M_alt 'P 1'
_space_group_IT_number 1
_space_group_name_Hall 'P 1'
_cell_length_a 7.644
_cell_length_b 7.644
_cell_length_c 5.325
_cell_angle_alpha 90.00
_cell_angle_beta 90.00
_cell_angle_gamma 60.00
loop_
_atom_site_label
_atom_site_fract_x
_atom_site_fract_y
_atom_site_fract_z
Co1 0.000 0.305 0.250
Co2 0.667 0.667 0.500
Co3 0.305 0.695 0.250
Co4 0.333 0.333 0.500
Co5 0.000 0.695 0.750
Co6 0.695 0.000 0.250
Co7 0.667 0.667 0.000
Co8 0.695 0.305 0.750
Co9 0.305 0.000 0.750
Co10 0.333 0.333 0.000
Sc1 0.000 0.624 0.250
Sc2 0.000 0.000 0.000
Sc3 0.624 0.000 0.750
Sc4 0.000 0.376 0.750
Sc5 0.376 0.000 0.250
Sc6 0.624 0.376 0.250
Sc7 0.000 0.000 0.500
Sc8 0.376 0.624 0.750
```